VASP calculation (PBE) on crystalline Li3ScIn at its relaxed geometry.

## Properties
spin magnetization	0.145	μB/atom
calculated density	2.55	Mg/m³
ΔE to the lowest computed polymorph	0.000	eV per atom
DOS at the Fermi energy	3.77	states/eV per cell
SG	Pm-3m (221)

Unit cell a=4.8988 b=4.8988 c=4.8988 alpha=90.00 beta=90.00 gamma=90.00
Positions (direct):
Li1 0.0000 0.0000 0.5000
Li2 0.0000 0.5000 0.0000
Li3 0.5000 0.0000 0.0000
Sc1 0.5000 0.5000 0.5000
In1 0.0000 0.0000 0.0000